A plane-wave DFT calculation with PBE was carried out for a geometry-optimized TcSbTe structure.

Geometry as extended XYZ:
```
12
Lattice="6.680 0.000 0.000 0.000 6.771 0.000 -3.326 0.000 5.987" Properties=species:S:1:pos:R:3 pbc="T T T"
Tc 1.636 0.016 0.003
Tc -0.027 3.369 2.997
Tc 3.382 3.401 2.990
Tc 1.718 6.755 5.984
Sb 1.666 4.435 1.190
Sb 0.002 5.721 4.183
Sb 3.352 1.050 1.804
Sb 1.688 2.336 4.797
Te -0.012 0.909 1.926
Te -1.675 2.476 4.920
Te 5.029 4.295 1.067
Te 3.366 5.861 4.061
```

The value obtained for the magnetic moment is 0.00 μB/f.u. Its crystal system is monoclinic. Its energy above the most stable polymorph in this dataset is 0 meV per atom.



A plane-wave DFT calculation with PBE was carried out for a geometry-optimized Pm4SmSn2 structure.

Geometry as extended XYZ:
```
7
Lattice="-2.971 2.971 6.381 2.971 -2.971 6.381 2.971 2.971 -6.381" Properties=species:S:1:pos:R:3 pbc="T T T"
Pm 2.971 0.000 0.000
Pm 2.971 0.000 3.190
Pm 0.000 2.971 0.000
Pm 0.000 2.971 3.190
Sm 0.000 0.000 0.000
Sn 0.000 0.000 4.756
Sn 0.000 0.000 8.005
```

The value obtained for the magnetic moment is 0.00 μB/f.u. Its crystal system is tetragonal. The formation energy comes out at -0.067 eV per atom.